Compound: Pu2Cr2C3
Source: Alexandria
Functional: PBE
Structure: optimized geometry

```
Pu2Cr2C3
1.0
5.814 -1.616 0.000
5.814 1.616 0.000
-2.485 0.000 4.835
Pu Cr C
2 2 3
direct
0.098 0.098 0.294 Pu
0.902 0.902 0.706 Pu
0.334 0.334 0.179 Cr
0.666 0.666 0.821 Cr
0.252 0.252 0.767 C
0.500 0.500 0.500 C
0.748 0.748 0.233 C
```

Output
raw total energy = -10.935 eV per atom
symmetry = No. 12
D(E_F) = 2.033 states/eV per atom
E_form = -93 kJ/mol of formula units

Compound: PuCrC2
Source: Alexandria
Functional: PBE
Structure: optimized geometry

```
PuCrC2
1.0
1.557 0.899 5.351
-1.557 0.899 5.351
0.000 -1.798 5.351
Pu Cr C
1 1 2
direct
0.000 0.000 0.000 Pu
0.500 0.500 0.500 Cr
0.234 0.234 0.234 C
0.766 0.766 0.766 C
```

Output
raw total energy = -10.464 eV per atom
symmetry = No. 166
D(E_F) = 1.736 states/eV per atom
E_form = 53 kJ/mol of formula units

Compound: PuCr3C2
Source: Alexandria
Functional: PBE
Structure: optimized geometry

```
PuCr3C2
1.0
6.081 -1.492 0.000
6.081 1.492 0.000
-2.730 0.000 7.529
Pu Cr C
2 6 4
direct
0.124 0.124 0.024 Pu
0.876 0.876 0.976 Pu
0.056 0.056 0.385 Cr
0.289 0.289 0.619 Cr
0.379 0.379 0.324 Cr
0.621 0.621 0.676 Cr
0.711 0.711 0.381 Cr
0.944 0.944 0.615 Cr
0.223 0.223 0.815 C
0.478 0.478 0.786 C
0.522 0.522 0.214 C
0.777 0.777 0.185 C
```

Output
raw total energy = -10.329 eV per atom
symmetry = No. 12
D(E_F) = 1.152 states/eV per atom
E_form = -31 kJ/mol of formula units

Compound: PuCrC2
Source: Alexandria
Functional: PBE
Structure: optimized geometry

```
PuCrC2
1.0
3.684 0.000 0.000
0.000 2.341 3.003
0.000 -2.341 3.003
Pu Cr C
1 1 2
direct
0.000 0.000 0.000 Pu
0.500 0.400 0.400 Cr
0.500 0.564 0.870 C
0.500 0.870 0.564 C
```

Output
raw total energy = -10.568 eV per atom
symmetry = No. 38
D(E_F) = 1.848 states/eV per atom
E_form = 13 kJ/mol of formula units